First-principles (GGA-PBE) data for LiTbNp2As4 after structural relaxation, as listed in the Alexandria database.

Unit cell a=7.0123 b=4.1223 c=7.1165 alpha=90.00 beta=109.60 gamma=90.00
Space group P2/m (No. 10)
One atom of each set of equivalent atoms:
Li (0.0000, 0.0000, 0.0000) x1
Tb (0.0000, 0.5000, 0.5000) x1
Np (0.5000, 0.0000, 0.5000) x1
Np (0.5000, 0.5000, 0.0000) x1
As (0.2547, 0.0000, 0.7530) x2
As (0.2610, 0.5000, 0.2531) x2

Properties
**Crystal system**: monoclinic
**E_form**: -0.75 eV/atom